Run one
Entry from the Alexandria database: a relaxed structure of HgBNF2 (GGA-PBE).

Calculated values
Fermi-level density of states = 0.6918 states/eV per atom
symmetry = P4/mmm, No. 123
magnetization = 0.2 μB per cell

Structure (extended XYZ):
```
5
Lattice="-3.0077 3.2946 1.1796 -3.4801 -2.9790 -0.5533 0.2160 -0.7367 2.6083" Properties=species:S:1:pos:R:3 pbc="T T T"
B 0.0000 0.0000 0.0000
N 0.1080 -0.3684 1.3042
F -1.7401 -1.4895 -0.2766
F -1.5039 1.6473 0.5898
Hg -3.1359 -0.2106 1.6173
```

---

Run two
Entry from the Alexandria database: a relaxed structure of HgBNF2 (GGA-PBE).

Calculated values
Fermi-level density of states = 0.3650 states/eV per atom
symmetry = P4/mmm, No. 123
magnetization = 1.6 μB per cell

Structure (extended XYZ):
```
5
Lattice="-1.2444 -0.5149 4.4636 -4.0954 -1.7755 -1.3466 1.6503 -3.8211 0.0193" Properties=species:S:1:pos:R:3 pbc="T T T"
F -0.6222 -0.2574 2.2318
F -2.0477 -0.8878 -0.6733
N 0.8251 -1.9106 0.0097
B -1.8448 -3.0558 1.5682
Hg 0.0000 0.0000 0.0000
```

---

Least stable structure: run two

---

Run one
Entry from the Alexandria database: a relaxed structure of HgBOF2 (GGA-PBE).

Calculated values
Fermi-level density of states = 0.1504 states/eV per atom
symmetry = P4/mmm, No. 123
magnetization = 0.0 μB per cell

Structure (extended XYZ):
```
5
Lattice="4.6537 0.0000 0.0000 0.0000 4.6537 0.0000 0.0000 0.0000 2.6686" Properties=species:S:1:pos:R:3 pbc="T T T"
F 2.3269 0.0000 0.0000
F 0.0000 2.3269 0.0000
Hg 2.3269 2.3269 1.3343
B 0.0000 0.0000 0.0000
O 0.0000 0.0000 1.3343
```

---

Run two
Entry from the Alexandria database: a relaxed structure of HgBOF2 (GGA-PBE).

Calculated values
Fermi-level density of states = 0.5187 states/eV per atom
symmetry = P4/mmm, No. 123
magnetization = 0.3 μB per cell

Structure (extended XYZ):
```
5
Lattice="4.5002 0.0000 0.0000 0.0000 4.5002 0.0000 0.0000 0.0000 4.1407" Properties=species:S:1:pos:R:3 pbc="T T T"
Hg 0.0000 0.0000 0.0000
O 0.0000 0.0000 2.0703
B 2.2501 2.2501 2.0703
F 0.0000 2.2501 0.0000
F 2.2501 0.0000 0.0000
```

---

Least stable structure: run two

---

Run one
Entry from the Alexandria database: a relaxed structure of B2I2F (GGA-PBE).

Calculated values
Fermi-level density of states = 0.3836 states/eV per atom
symmetry = I4/mmm, No. 139
magnetization = 0.0 μB per cell

Structure (extended XYZ):
```
5
Lattice="-0.4596 -3.9694 -1.3195 4.0489 -0.0887 -1.1433 3.1974 -3.8907 3.8805" Properties=species:S:1:pos:R:3 pbc="T T T"
B 4.5204 -3.0042 0.7529
B 2.2662 -4.9446 0.6648
F 0.0000 0.0000 0.0000
I 4.5502 -5.3334 1.0390
I 2.2365 -2.6154 0.3787
```

---

Run two
Entry from the Alexandria database: a relaxed structure of B2I2F (GGA-PBE).

Calculated values
Fermi-level density of states = 0.4050 states/eV per atom
symmetry = P4/mbm, No. 127
magnetization = 0.0 μB per cell

Structure (extended XYZ):
```
10
Lattice="7.7489 0.0000 0.0000 0.0000 7.7489 0.0000 0.0000 0.0000 3.4314" Properties=species:S:1:pos:R:3 pbc="T T T"
B 1.4958 5.3703 1.7157
B 2.3786 1.4958 1.7157
B 5.3703 6.2531 1.7157
B 6.2531 2.3786 1.7157
I 2.5329 6.4074 0.0000
I 6.4074 5.2160 0.0000
I 5.2160 1.3416 0.0000
I 1.3416 2.5329 0.0000
F 0.0000 0.0000 0.0000
F 3.8745 3.8745 0.0000
```

---

Least stable structure: run two

---

Run one
Entry from the Alexandria database: a relaxed structure of BIN2F (GGA-PBE).

Calculated values
Fermi-level density of states = 0.2976 states/eV per atom
symmetry = P4/mmm, No. 123
magnetization = 0.0 μB per cell

Structure (extended XYZ):
```
5
Lattice="-2.8953 -1.1061 2.0615 1.5924 -3.3347 0.4473 1.5802 1.1339 2.8277" Properties=species:S:1:pos:R:3 pbc="T T T"
I 0.1386 -1.6535 2.6682
N 0.7962 -1.6674 0.2236
N -1.4477 -0.5531 1.0307
B 0.0000 0.0000 0.0000
F 0.7901 0.5669 1.4139
```

---

Run two
Entry from the Alexandria database: a relaxed structure of BIN2F (GGA-PBE).

Calculated values
Fermi-level density of states = 0.3584 states/eV per atom
symmetry = P4/mmm, No. 123
magnetization = 3.8 μB per cell

Structure (extended XYZ):
```
5
Lattice="3.7974 0.0000 0.0000 0.0000 3.7974 0.0000 0.0000 0.0000 6.6945" Properties=species:S:1:pos:R:3 pbc="T T T"
I 0.0000 0.0000 3.3473
N 1.8987 0.0000 0.0000
N 0.0000 1.8987 0.0000
F 0.0000 0.0000 0.0000
B 1.8987 1.8987 3.3473
```

---

Run three
Entry from the Alexandria database: a relaxed structure of BIN2F (GGA-PBE).

Calculated values
Fermi-level density of states = 0.8345 states/eV per atom
symmetry = P4/mmm, No. 123
magnetization = 0.0 μB per cell

Structure (extended XYZ):
```
5
Lattice="-1.6846 -2.0388 1.9213 1.9915 -2.4483 -0.8519 4.4167 1.6397 5.6126" Properties=species:S:1:pos:R:3 pbc="T T T"
F 2.3619 -1.4237 3.3410
B 0.0000 0.0000 0.0000
N 0.9958 -1.2241 -0.4260
N -0.8423 -1.0194 0.9606
I 2.2084 0.8199 2.8063
```

---

Run four
Entry from the Alexandria database: a relaxed structure of BIN2F (GGA-PBE).

Calculated values
Fermi-level density of states = 0.1311 states/eV per atom
symmetry = P4/mmm, No. 123
magnetization = 0.0 μB per cell

Structure (extended XYZ):
```
5
Lattice="4.0638 0.0000 0.0000 0.0000 4.0638 0.0000 0.0000 0.0000 4.4919" Properties=species:S:1:pos:R:3 pbc="T T T"
N 0.0000 2.0319 0.0000
N 2.0319 0.0000 0.0000
B 2.0319 2.0319 2.2460
I 0.0000 0.0000 0.0000
F 0.0000 0.0000 2.2460
```

---

Least stable structure: run two